i | VASP calculation (PBE) on an optimized crystal structure of Cr2H2Os.

abc: 6.0791 6.0791 6.0791
angles: 153.94 153.94 37.19
Positions (direct):
Cr 0.1515 0.1515 0.0000
Cr 0.8485 0.8485 0.0000
H 0.2500 0.7500 0.5000
H 0.7500 0.2500 0.5000
Os 0.5000 0.5000 0.0000

Results
Symmetry: I4/mmm
Magnetic moment: 0.20 μB per atom

ii | VASP calculation (PBE) on an optimized crystal structure of Cr2H2Os.

abc: 5.6843 5.6843 2.7253
angles: 90.00 90.00 90.00
Positions (direct):
Cr 0.1331 0.3669 0.0000
Cr 0.3669 0.8669 0.0000
Cr 0.6331 0.1331 0.0000
Cr 0.8669 0.6331 0.0000
H 0.1955 0.6955 0.5000
H 0.3045 0.1955 0.5000
H 0.6955 0.8045 0.5000
H 0.8045 0.3045 0.5000
Os 0.0000 0.0000 0.5000
Os 0.5000 0.5000 0.5000

Results
Symmetry: P4/mbm
Magnetic moment: 0.00 μB per atom

Which of them is least stable? Easy: ii.

i | VASP calculation (PBE) on an optimized crystal structure of Cr3HOs.

abc: 3.7226 3.7226 3.7226
angles: 90.00 90.00 90.00
Positions (direct):
Cr 0.0000 0.0000 0.5000
Cr 0.0000 0.5000 0.0000
Cr 0.5000 0.0000 0.0000
H 0.0000 0.0000 0.0000
Os 0.5000 0.5000 0.5000

Results
Symmetry: Pm-3m
Magnetic moment: 0.00 μB per atom

ii | VASP calculation (PBE) on an optimized crystal structure of Cr3HOs.

abc: 4.7279 4.7279 4.7279
angles: 90.00 90.00 90.00
Positions (direct):
Cr 0.0000 0.0000 0.5000
Cr 0.0000 0.5000 0.0000
Cr 0.5000 0.0000 0.0000
H 0.5000 0.5000 0.5000
Os 0.0000 0.0000 0.0000

Results
Symmetry: Pm-3m
Magnetic moment: 1.91 μB per atom

Which of them is least stable? Easy: ii.

i | VASP calculation (PBE) on an optimized crystal structure of Cr2HOsRh.

abc: 3.8012 3.8012 3.7516
angles: 90.00 90.00 90.00
Positions (direct):
Cr 0.0000 0.5000 0.0000
Cr 0.5000 0.0000 0.0000
H 0.0000 0.0000 0.0000
Os 0.0000 0.0000 0.5000
Rh 0.5000 0.5000 0.5000

Results
Symmetry: P4/mmm
Magnetic moment: 0.00 μB per atom

ii | VASP calculation (PBE) on an optimized crystal structure of Cr2HOsRh.

abc: 3.8167 3.8167 3.7086
angles: 90.00 90.00 90.00
Positions (direct):
Cr 0.0000 0.5000 0.0000
Cr 0.5000 0.0000 0.0000
H 0.0000 0.0000 0.0000
Os 0.5000 0.5000 0.5000
Rh 0.0000 0.0000 0.5000

Results
Symmetry: P4/mmm
Magnetic moment: 0.10 μB per atom

Which of them is least stable? Easy: i.

i | VASP calculation (PBE) on an optimized crystal structure of Cr2TcHOs.

abc: 3.8155 3.8155 3.7688
angles: 90.00 90.00 90.00
Positions (direct):
Cr 0.0000 0.5000 0.0000
Cr 0.5000 0.0000 0.0000
Tc 0.0000 0.0000 0.5000
H 0.5000 0.5000 0.0000
Os 0.5000 0.5000 0.5000

Results
Symmetry: P4/mmm
Magnetic moment: 0.00 μB per atom

ii | VASP calculation (PBE) on an optimized crystal structure of Cr2TcHOs.

abc: 3.7786 3.7786 3.7615
angles: 90.00 90.00 90.00
Positions (direct):
Cr 0.0000 0.5000 0.0000
Cr 0.5000 0.0000 0.0000
Tc 0.0000 0.0000 0.5000
H 0.0000 0.0000 0.0000
Os 0.5000 0.5000 0.5000

Results
Symmetry: P4/mmm
Magnetic moment: 0.00 μB per atom

Which of them is least stable? Easy: i.

i | VASP calculation (PBE) on an optimized crystal structure of VCr2HOs.

abc: 3.7354 3.7354 3.8636
angles: 90.00 90.00 90.00
Positions (direct):
V 0.0000 0.0000 0.0000
Cr 0.0000 0.5000 0.5000
Cr 0.5000 0.0000 0.5000
H 0.5000 0.5000 0.5000
Os 0.5000 0.5000 0.0000

Results
Symmetry: P4/mmm
Magnetic moment: 0.00 μB per atom

ii | VASP calculation (PBE) on an optimized crystal structure of VCr2HOs.

abc: 3.7245 3.7245 3.8404
angles: 90.00 90.00 90.00
Positions (direct):
V 0.0000 0.0000 0.0000
Cr 0.0000 0.5000 0.5000
Cr 0.5000 0.0000 0.5000
H 0.0000 0.0000 0.5000
Os 0.5000 0.5000 0.0000

Results
Symmetry: P4/mmm
Magnetic moment: 0.00 μB per atom

Which of them is least stable? Easy: i.

i | VASP calculation (PBE) on an optimized crystal structure of CrHOsW2.

abc: 4.4981 4.4981 4.4064
angles: 90.00 90.00 90.00
Positions (direct):
Cr 0.0000 0.0000 0.0000
H 0.5000 0.5000 0.5000
Os 0.0000 0.0000 0.5000
W 0.0000 0.5000 0.0000
W 0.5000 0.0000 0.0000

Results
Symmetry: P4/mmm
Magnetic moment: 0.03 μB per atom

ii | VASP calculation (PBE) on an optimized crystal structure of CrHOsW2.

abc: 3.9808 3.9808 3.8414
angles: 90.00 90.00 90.00
Positions (direct):
Cr 0.0000 0.0000 0.0000
H 0.0000 0.0000 0.5000
Os 0.5000 0.5000 0.0000
W 0.0000 0.5000 0.5000
W 0.5000 0.0000 0.5000

Results
Symmetry: P4/mmm
Magnetic moment: 0.00 μB per atom

Which of them is least stable? Easy: i.